# 1
A relaxed structure of LiFe2Ag. Source: Alexandria, functional PBE-GGA.

Properties
Space group: I4/mmm, No. 139
Formation energy from the elements, eV per atom: 0.273
E_tot, eV per atom: -5.149
Crystal system: tetragonal
Size of the total moment, μB/f.u.: 5.11

Cell lengths 4.997, 4.997, 4.997 Å; angles 138.74, 138.74, 59.78 degrees
Last column: magnetic moment on the atom in μB.
Positions (direct):
Ag: 0.750 0.250 0.500  0.02
Fe: 0.500 0.500 0.000  2.63
Li: 0.250 0.750 0.500  -0.06
Fe: 0.000 0.000 0.000  2.63



# 2
A relaxed structure of Li2FeAg. Source: Alexandria, functional PBE-GGA.

Properties
Space group: Cm, No. 8
Formation energy from the elements, eV per atom: 0.196
E_tot, eV per atom: -3.589
Crystal system: monoclinic
Size of the total moment, μB/f.u.: 2.57

Cell lengths 4.810, 4.810, 4.957 Å; angles 83.19, 83.19, 31.99 degrees
Last column: magnetic moment on the atom in μB.
Positions (direct):
Li: 0.754 0.754 0.752  -0.05
Ag: 0.502 0.502 0.489  0.01
Li: 0.996 0.996 0.999  -0.03
Fe: 0.247 0.247 0.259  2.77



# 3
A relaxed structure of LiFe2Ag. Source: Alexandria, functional PBE-GGA.

Properties
Space group: C2/m, No. 12
Formation energy from the elements, eV per atom: 0.278
E_tot, eV per atom: -5.145
Crystal system: monoclinic
Size of the total moment, μB/f.u.: 5.15

Cell lengths 4.546, 5.279, 2.612 Å; angles 78.81, 82.89, 113.57 degrees
Last column: magnetic moment on the atom in μB.
Positions (direct):
Fe: 0.000 0.000 0.000  2.63
Li: 0.000 0.500 0.500  -0.05
Fe: 0.500 0.000 0.500  2.63
Ag: 0.500 0.500 0.000  0.01



# 4
A relaxed structure of Li2FeAg2. Source: Alexandria, functional PBE-GGA.

Properties
Space group: I4/mmm, No. 139
Polymorph energy (0 for the lowest one), meV per atom: 226
Formation energy from the elements, eV per atom: 0.414
E_tot, eV per atom: -3.184
Crystal system: tetragonal
Size of the total moment, μB/f.u.: 2.99

Cell lengths 4.952, 4.952, 4.952 Å; angles 124.38, 124.38, 82.57 degrees
Last column: magnetic moment on the atom in μB.
Positions (direct):
Ag: 0.250 0.750 0.500  0.00
Fe: 0.000 0.000 0.000  3.06
Li: 0.360 0.360 0.000  -0.02
Ag: 0.750 0.250 0.500  0.00
Li: 0.640 0.640 0.000  -0.02



# 5
A relaxed structure of Li2FeAg. Source: Alexandria, functional PBE-GGA.

Properties
Space group: P4mm, No. 99
Formation energy from the elements, eV per atom: 0.190
E_tot, eV per atom: -3.595
Crystal system: tetragonal
Size of the total moment, μB/f.u.: 2.69

Cell lengths 2.738, 2.738, 8.410 Å; angles 90.00, 90.00, 90.00 degrees
Last column: magnetic moment on the atom in μB.
Positions (direct):
Li: 0.000 0.000 0.978  -0.05
Ag: 0.000 0.000 0.507  0.01
Fe: 0.500 0.500 0.749  2.82
Li: 0.500 0.500 0.266  0.00



# 6
A relaxed structure of LiFeAg2. Source: Alexandria, functional PBE-GGA.

Properties
Space group: C2/m, No. 12
Formation energy from the elements, eV per atom: 0.225
E_tot, eV per atom: -3.795
Crystal system: monoclinic
Size of the total moment, μB/f.u.: 2.78

Cell lengths 4.727, 4.727, 5.131 Å; angles 82.41, 82.41, 33.81 degrees
Last column: magnetic moment on the atom in μB.
Positions (direct):
Ag: 0.996 0.996 0.002  0.01
Ag: 0.504 0.504 0.498  0.01
Fe: 0.250 0.250 0.250  2.88
Li: 0.750 0.750 0.750  -0.04



# 7
A relaxed structure of LiFe2Ag. Source: Alexandria, functional PBE-GGA.

Properties
Space group: P4/mmm, No. 123
Formation energy from the elements, eV per atom: 0.473
E_tot, eV per atom: -4.950
Crystal system: tetragonal
Size of the total moment, μB/f.u.: 5.50

Cell lengths 3.037, 3.037, 5.933 Å; angles 90.00, 90.00, 90.00 degrees
Last column: magnetic moment on the atom in μB.
Positions (direct):
Ag: 0.500 0.500 0.750  0.02
Fe: 0.000 0.000 0.463  2.81
Li: 0.500 0.500 0.250  -0.06
Fe: 0.000 0.000 0.037  2.81



# 8
A relaxed structure of LiFe2Ag. Source: Alexandria, functional PBE-GGA.

Properties
Space group: Pmmm, No. 47
Formation energy from the elements, eV per atom: 0.244
E_tot, eV per atom: -5.179
Crystal system: orthorhombic
Size of the total moment, μB/f.u.: 4.85

Cell lengths 2.809, 4.119, 4.628 Å; angles 90.00, 90.00, 90.00 degrees
Last column: magnetic moment on the atom in μB.
Positions (direct):
Fe: 0.500 0.500 0.000  2.45
Ag: 0.000 0.500 0.500  -0.01
Fe: 0.000 0.000 0.000  2.59
Li: 0.500 0.000 0.500  -0.06